! GGA-PBE Rb2Ag2TeSe, optimized geometry; values from VASP
! - Electronic total energy: -3.0355 eV/atom
&SYSTEM
  ibrav = 0, nat = 6, ntyp = 4
/
ATOMIC_SPECIES
Ag 107.87 Ag.upf
Rb 85.47 Rb.upf
Se 78.96 Se.upf
Te 127.60 Te.upf
ATOMIC_POSITIONS angstrom
Ag 2.3587 1.3618 0.0000
Ag 0.0000 2.7235 5.0646
Rb 0.0000 0.0000 2.6270
Rb 0.0000 0.0000 7.5022
Se 2.3587 1.3618 5.0646
Te 0.0000 2.7235 0.0000
CELL_PARAMETERS angstrom
4.7173 0.0000 0.0000
-2.3586 4.0853 0.0000
0.0000 0.0000 10.1293